! CuTcCl2, relaxed, DFT PBE; values from VASP
&SYSTEM
  ibrav = 0, nat = 4, ntyp = 3
/
ATOMIC_SPECIES
Cu 63.55 Cu.upf
Tc 98.00 Tc.upf
Cl 35.45 Cl.upf
ATOMIC_POSITIONS crystal
Cu 0.0000 0.0000 0.0000
Tc 0.0000 0.0000 0.5000
Cl 0.5000 0.5000 0.2468
Cl 0.5000 0.5000 0.7532
CELL_PARAMETERS angstrom
3.3020 0.0000 0.0000
0.0000 3.3020 0.0000
0.0000 0.0000 6.3527
! ΔE_f (raw): 2.2 eV/f.u.
! Crystal system: tetragonal
! N(E_F): 0.310 states/eV per atom